No. 1
Material: BaAcSe2
Method: DFT, PBE
State: relaxed

- Electronic total energy: -4.596 eV per atom
- E above lowest polymorph: 14.037 kcal/mol of atoms
- Size of the total moment: 0.41 μB per formula unit
- Mass density: 4.6 g/cm³

a = 4.8478 Å, b = 4.8478 Å, c = 27.7398 Å
α = 90.00°, β = 90.00°, γ = 120.00°
Space group R-3m (No. 166, hexagonal axes)
One atom of each set of equivalent atoms:
Ba 0.0000 0.0000 0.0000 (multiplicity 3)
Ac 0.0000 0.0000 0.5000 (multiplicity 3)
Se 0.0000 0.0000 0.3965 (multiplicity 6)



No. 2
Material: ZrMn3Fe
Method: DFT, PBE
State: relaxed

- Electronic total energy: -8.148 eV per atom
- Energy relative to the elements: 0.756 eV per atom
- E above lowest polymorph: 0.000 kcal/mol of atoms
- Size of the total moment: 0.00 μB per formula unit
- Mass density: 7.1 g/cm³

a = 4.187 Å, b = 4.187 Å, c = 4.187 Å
α = 90.00°, β = 90.00°, γ = 90.00°
Space group Pm-3m (No. 221)
One atom of each set of equivalent atoms:
Zr 0.000 0.000 0.000 (multiplicity 1)
Mn 0.000 0.500 0.500 (multiplicity 3)
Fe 0.500 0.500 0.500 (multiplicity 1)



No. 3
Material: La4CoTcCl2
Method: DFT, PBE
State: relaxed

- Electronic total energy: -5.905 eV per atom
- Size of the total moment: 0.00 μB per formula unit
- Mass density: 5.9 g/cm³

a = 6.992 Å, b = 4.137 Å, c = 8.042 Å
α = 90.00°, β = 107.30°, γ = 90.00°
Space group P2/m (No. 10)
One atom of each set of equivalent atoms:
La 0.232 0.000 0.201 (multiplicity 2)
La 0.267 0.500 0.793 (multiplicity 2)
Co 0.000 0.500 0.000 (multiplicity 1)
Tc 0.500 0.000 0.000 (multiplicity 1)
Cl 0.000 0.000 0.500 (multiplicity 1)
Cl 0.500 0.500 0.500 (multiplicity 1)



No. 4
Material: Li2SbH2
Method: DFT, PBE
State: relaxed

- Electronic total energy: -3.167 eV per atom
- E above lowest polymorph: 0.000 kcal/mol of atoms
- Size of the total moment: 0.00 μB per formula unit
- Mass density: 3.3 g/cm³

a = 8.294 Å, b = 5.460 Å, c = 3.331 Å
α = 90.00°, β = 113.51°, γ = 90.00°
Space group C2/m (No. 12)
One atom of each set of equivalent atoms:
Li 0.191 0.000 0.192 (multiplicity 4)
Sb 0.000 0.500 0.000 (multiplicity 2)
H 0.000 0.072 0.500 (multiplicity 4)



No. 5
Material: Li7Cd3Ag
Method: DFT, PBE
State: relaxed

- Electronic total energy: -1.887 eV per atom
- Energy relative to the elements: -0.160 eV per atom
- Size of the total moment: 0.00 μB per formula unit
- Mass density: 3.8 g/cm³

a = 3.037 Å, b = 23.677 Å, c = 11.850 Å
α = 90.00°, β = 90.00°, γ = 90.00°
Space group Cmcm (No. 63)
One atom of each set of equivalent atoms:
Li 0.000 0.055 0.125 (multiplicity 8)
Li 0.000 0.080 0.608 (multiplicity 8)
Li 0.000 0.172 0.250 (multiplicity 4)
Li 0.000 0.232 0.611 (multiplicity 8)
Cd 0.000 0.344 0.250 (multiplicity 4)
Cd 0.000 0.347 0.536 (multiplicity 8)
Ag 0.000 0.481 0.250 (multiplicity 4)



No. 6
Material: TlAgPb4
Method: DFT, PBE
State: relaxed

- Electronic total energy: -3.272 eV per atom
- Energy relative to the elements: 0.069 eV per atom
- E above lowest polymorph: 0.000 kcal/mol of atoms
- Size of the total moment: 0.00 μB per formula unit
- Mass density: 10.4 g/cm³

a = 6.034 Å, b = 8.052 Å, c = 8.893 Å
α = 116.90°, β = 107.17°, γ = 90.05°
Space group P-1 (No. 2)
One atom of each set of equivalent atoms:
Tl 0.184 0.204 0.408 (multiplicity 2)
Ag 0.260 0.488 0.976 (multiplicity 2)
Pb 0.000 0.196 0.000 (multiplicity 2)
Pb 0.192 0.675 0.349 (multiplicity 2)
Pb 0.405 0.106 0.761 (multiplicity 2)
Pb 0.405 0.655 0.761 (multiplicity 2)



No. 7
Material: Fe2AgMo
Method: DFT, PBE
State: relaxed

- Electronic total energy: -7.148 eV per atom
- Energy relative to the elements: 0.504 eV per atom
- E above lowest polymorph: 5.165 kcal/mol of atoms
- Size of the total moment: 1.51 μB per formula unit
- Mass density: 9.7 g/cm³

a = 3.973 Å, b = 3.973 Å, c = 3.415 Å
α = 90.00°, β = 90.00°, γ = 90.00°
Space group P4/mmm (No. 123)
One atom of each set of equivalent atoms:
Fe 0.000 0.500 0.000 (multiplicity 2)
Ag 0.000 0.000 0.500 (multiplicity 1)
Mo 0.500 0.500 0.500 (multiplicity 1)



No. 8
Material: Pr2Mn3CoGe4
Method: DFT, PBE
State: relaxed

- Electronic total energy: -6.743 eV per atom
- Energy relative to the elements: -0.478 eV per atom
- Size of the total moment: 6.06 μB per formula unit
- Mass density: 7.5 g/cm³

a = 4.047 Å, b = 4.047 Å, c = 10.783 Å
α = 90.00°, β = 90.00°, γ = 90.00°
Space group P-4m2 (No. 115)
One atom of each set of equivalent atoms:
Pr 0.000 0.500 0.246 (multiplicity 2)
Mn 0.000 0.000 0.000 (multiplicity 1)
Mn 0.000 0.000 0.500 (multiplicity 1)
Mn 0.500 0.500 0.500 (multiplicity 1)
Co 0.500 0.500 0.000 (multiplicity 1)
Ge 0.000 0.500 0.627 (multiplicity 2)
Ge 0.000 0.500 0.878 (multiplicity 2)



No. 9
Material: Li2CdSeO4
Method: DFT, PBE
State: relaxed

- Electronic total energy: -4.630 eV per atom
- Size of the total moment: 0.00 μB per formula unit
- Mass density: 4.9 g/cm³

a = 6.182 Å, b = 6.183 Å, c = 9.543 Å
α = 90.00°, β = 90.00°, γ = 90.00°
Space group Imma (No. 74)
One atom of each set of equivalent atoms:
Li 0.000 0.000 0.000 (multiplicity 4)
Li 0.250 0.250 0.250 (multiplicity 4)
Cd 0.000 0.000 0.500 (multiplicity 4)
Se 0.250 0.250 0.750 (multiplicity 4)
O 0.000 0.005 0.752 (multiplicity 8)
O 0.234 0.250 0.963 (multiplicity 8)



No. 10
Material: PmMg3Ga
Method: DFT, PBE
State: relaxed

- Electronic total energy: -2.656 eV per atom
- Energy relative to the elements: -0.143 eV per atom
- Size of the total moment: 0.00 μB per formula unit
- Mass density: 3.8 g/cm³

a = 4.718 Å, b = 4.790 Å, c = 11.219 Å
α = 90.00°, β = 90.00°, γ = 90.00°
Space group Amm2 (No. 38)
One atom of each set of equivalent atoms:
Pm 0.000 0.000 0.000 (multiplicity 2)
Mg 0.000 0.000 0.705 (multiplicity 2)
Mg 0.500 0.000 0.211 (multiplicity 2)
Mg 0.500 0.000 0.502 (multiplicity 2)
Ga 0.000 0.000 0.339 (multiplicity 2)



No. 11
Material: Li4TbSc3Te8
Method: DFT, PBE
State: relaxed

- Electronic total energy: -4.727 eV per atom
- Size of the total moment: 0.00 μB per formula unit
- Mass density: 5.2 g/cm³

a = 8.4258 Å, b = 8.4258 Å, c = 20.9836 Å
α = 90.00°, β = 90.00°, γ = 120.00°
Space group R-3m (No. 166, hexagonal axes)
One atom of each set of equivalent atoms:
Li 0.0000 0.0000 0.0000 (multiplicity 3)
Li 0.0000 0.5000 0.0000 (multiplicity 9)
Tb 0.0000 0.0000 0.5000 (multiplicity 3)
Sc 0.0000 0.5000 0.5000 (multiplicity 9)
Te 0.0000 0.0000 0.2473 (multiplicity 6)
Te 0.0109 0.5055 0.7504 (multiplicity 18)



No. 12
Material: LaIn2PtRh
Method: DFT, PBE
State: relaxed

- Electronic total energy: -4.954 eV per atom
- Energy relative to the elements: -0.194 eV per atom
- Size of the total moment: 0.00 μB per formula unit
- Mass density: 8.6 g/cm³

a = 4.925 Å, b = 4.925 Å, c = 5.305 Å
α = 90.00°, β = 90.00°, γ = 90.00°
Space group P4/mmm (No. 123)
One atom of each set of equivalent atoms:
La 0.000 0.000 0.000 (multiplicity 1)
In 0.000 0.500 0.500 (multiplicity 2)
Pt 0.500 0.500 0.000 (multiplicity 1)
Rh 0.500 0.500 0.500 (multiplicity 1)



Number 1 is which compound?
BaAcSe2